No. 1
CuAgPd2: relaxed, PBE. Values from VASP.

Cell and atoms, written as Quantum ESPRESSO input:
```
&SYSTEM
  ibrav = 0, nat = 8, ntyp = 3
/
ATOMIC_SPECIES
Cu 63.55 Cu.upf
Ag 107.87 Ag.upf
Pd 106.42 Pd.upf
CELL_PARAMETERS angstrom
-3.5568 3.5568 2.6538
3.5568 -3.5568 2.6538
3.5568 3.5568 -2.6538
ATOMIC_POSITIONS crystal
Cu 0.0000 0.0000 0.0000
Cu 0.7500 0.2500 0.5000
Ag 0.2500 0.7500 0.5000
Ag 0.5000 0.5000 0.0000
Pd 0.0963 0.1250 0.4713
Pd 0.3750 0.9037 0.0287
Pd 0.6537 0.6250 0.5287
Pd 0.8750 0.3463 0.9713
```

## Properties
**E above lowest polymorph**: 335.7 meV per atom
**Formation enthalpy at 0 K**: 271 meV/atom
**Calculated volume**: 16.79 Å³ per atom
**Symmetry**: I-42d (122)


No. 2
Cu6AgPd2: relaxed, PBE. Values from VASP.

Cell and atoms, written as Quantum ESPRESSO input:
```
&SYSTEM
  ibrav = 0, nat = 9, ntyp = 3
/
ATOMIC_SPECIES
Cu 63.55 Cu.upf
Ag 107.87 Ag.upf
Pd 106.42 Pd.upf
CELL_PARAMETERS angstrom
6.4749 0.0000 0.0000
0.0000 2.6696 0.0000
-1.8258 0.0000 7.1982
ATOMIC_POSITIONS crystal
Cu 0.0266 0.0000 0.1679
Cu 0.3221 0.5000 0.3950
Cu 0.3911 0.0000 0.7255
Cu 0.6089 0.0000 0.2745
Cu 0.6779 0.5000 0.6050
Cu 0.9734 0.0000 0.8321
Ag 0.0000 0.0000 0.5000
Pd 0.3019 0.5000 0.0256
Pd 0.6981 0.5000 0.9744
```

## Properties
**E above lowest polymorph**: 0.0 meV per atom
**Formation enthalpy at 0 K**: 46 meV/atom
**Calculated volume**: 13.82 Å³ per atom
**Symmetry**: P2/m (10)


No. 3
Cu2AgPd7: relaxed, PBE. Values from VASP.

Cell and atoms, written as Quantum ESPRESSO input:
```
&SYSTEM
  ibrav = 0, nat = 10, ntyp = 3
/
ATOMIC_SPECIES
Cu 63.55 Cu.upf
Ag 107.87 Ag.upf
Pd 106.42 Pd.upf
CELL_PARAMETERS angstrom
3.5721 -6.2169 0.0000
3.5721 6.2169 0.0000
0.0000 0.0000 4.2998
ATOMIC_POSITIONS crystal
Cu 0.1979 0.8021 0.0000
Cu 0.8021 0.1979 0.0000
Ag 0.5000 0.5000 0.5000
Pd 0.0000 0.0000 0.0000
Pd 0.1992 0.4296 0.0000
Pd 0.2855 0.7145 0.5000
Pd 0.4296 0.1992 0.0000
Pd 0.5704 0.8008 0.0000
Pd 0.7145 0.2855 0.5000
Pd 0.8008 0.5704 0.0000
```

## Properties
**Formation enthalpy at 0 K**: 481 meV/atom
**Calculated volume**: 19.10 Å³ per atom
**Symmetry**: Cmmm (65)


No. 4
CuAgPd4: relaxed, PBE. Values from VASP.

Cell and atoms, written as Quantum ESPRESSO input:
```
&SYSTEM
  ibrav = 0, nat = 6, ntyp = 3
/
ATOMIC_SPECIES
Cu 63.55 Cu.upf
Ag 107.87 Ag.upf
Pd 106.42 Pd.upf
CELL_PARAMETERS angstrom
2.7986 0.0000 0.0000
0.0000 2.7986 0.0000
0.0000 0.0000 11.6882
ATOMIC_POSITIONS crystal
Cu 0.0000 0.0000 0.0000
Ag 0.5000 0.5000 0.5000
Pd 0.0000 0.0000 0.3206
Pd 0.0000 0.0000 0.6794
Pd 0.5000 0.5000 0.1499
Pd 0.5000 0.5000 0.8501
```

## Properties
**E above lowest polymorph**: 0.0 meV per atom
**Formation enthalpy at 0 K**: -48 meV/atom
**Calculated volume**: 15.26 Å³ per atom
**Symmetry**: P4/mmm (123)


No. 5
CuAg2Pd4: relaxed, PBE. Values from VASP.

Cell and atoms, written as Quantum ESPRESSO input:
```
&SYSTEM
  ibrav = 0, nat = 7, ntyp = 3
/
ATOMIC_SPECIES
Cu 63.55 Cu.upf
Ag 107.87 Ag.upf
Pd 106.42 Pd.upf
CELL_PARAMETERS angstrom
-2.2924 2.2924 6.6910
2.2924 -2.2924 6.6910
2.2924 2.2924 -6.6910
ATOMIC_POSITIONS crystal
Cu 0.0000 0.0000 0.0000
Ag 0.3796 0.3796 0.0000
Ag 0.6204 0.6204 0.0000
Pd 0.0000 0.5000 0.5000
Pd 0.1792 0.1792 0.0000
Pd 0.5000 0.0000 0.5000
Pd 0.8208 0.8208 0.0000
```

## Properties
**E above lowest polymorph**: 429.2 meV per atom
**Formation enthalpy at 0 K**: 633 meV/atom
**Calculated volume**: 20.09 Å³ per atom
**Symmetry**: I4/mmm (139)


No. 6
CuAg6Pd5: relaxed, PBE. Values from VASP.

Cell and atoms, written as Quantum ESPRESSO input:
```
&SYSTEM
  ibrav = 0, nat = 12, ntyp = 3
/
ATOMIC_SPECIES
Cu 63.55 Cu.upf
Ag 107.87 Ag.upf
Pd 106.42 Pd.upf
CELL_PARAMETERS angstrom
-2.0069 4.0540 6.0420
2.0069 -4.0540 6.0420
2.0069 4.0540 -6.0420
ATOMIC_POSITIONS crystal
Cu 0.0000 0.0000 0.0000
Ag 0.0830 0.8339 0.2491
Ag 0.2488 0.5000 0.7488
Ag 0.4152 0.1661 0.2491
Ag 0.5848 0.8339 0.7509
Ag 0.7512 0.5000 0.2512
Ag 0.9170 0.1661 0.7509
Pd 0.1610 0.6610 0.5000
Pd 0.3324 0.3324 0.0000
Pd 0.5000 0.0000 0.5000
Pd 0.6676 0.6676 0.0000
Pd 0.8390 0.3390 0.5000
```

## Properties
**Formation enthalpy at 0 K**: -17 meV/atom
**Calculated volume**: 16.39 Å³ per atom
**Symmetry**: Immm (71)


No. 7
Cu3AgPd6: relaxed, PBE. Values from VASP.

Cell and atoms, written as Quantum ESPRESSO input:
```
&SYSTEM
  ibrav = 0, nat = 20, ntyp = 3
/
ATOMIC_SPECIES
Cu 63.55 Cu.upf
Ag 107.87 Ag.upf
Pd 106.42 Pd.upf
CELL_PARAMETERS angstrom
7.0201 0.0000 0.0000
0.0000 6.1214 0.0000
-6.6965 0.0000 7.1916
ATOMIC_POSITIONS crystal
Cu 0.0000 0.0000 0.0000
Cu 0.0000 0.5000 0.5000
Cu 0.2835 0.2043 0.5488
Cu 0.2835 0.2957 0.0488
Cu 0.7165 0.7043 0.9512
Cu 0.7165 0.7957 0.4512
Ag 0.5000 0.0000 0.0000
Ag 0.5000 0.5000 0.5000
Pd 0.0411 0.6519 0.8029
Pd 0.0411 0.8481 0.3029
Pd 0.2178 0.6477 0.1543
Pd 0.2178 0.8523 0.6543
Pd 0.3908 0.1013 0.3351
Pd 0.3908 0.3987 0.8351
Pd 0.6092 0.6013 0.1649
Pd 0.6092 0.8987 0.6649
Pd 0.7822 0.1477 0.3457
Pd 0.7822 0.3523 0.8457
Pd 0.9589 0.1519 0.6971
Pd 0.9589 0.3481 0.1971
```

## Properties
**E above lowest polymorph**: 148.4 meV per atom
**Formation enthalpy at 0 K**: 84 meV/atom
**Calculated volume**: 15.45 Å³ per atom
**Symmetry**: P2_1/c (14)


No. 8
Cu2AgPd2: relaxed, PBE. Values from VASP.

Cell and atoms, written as Quantum ESPRESSO input:
```
&SYSTEM
  ibrav = 0, nat = 5, ntyp = 3
/
ATOMIC_SPECIES
Cu 63.55 Cu.upf
Ag 107.87 Ag.upf
Pd 106.42 Pd.upf
CELL_PARAMETERS angstrom
-1.8809 1.8809 5.7257
1.8809 -1.8809 5.7257
1.8809 1.8809 -5.7257
ATOMIC_POSITIONS crystal
Cu 0.0998 0.0998 0.0000
Cu 0.9002 0.9002 0.0000
Ag 0.5000 0.5000 0.0000
Pd 0.2500 0.7500 0.5000
Pd 0.7500 0.2500 0.5000
```

## Properties
**E above lowest polymorph**: 234.5 meV per atom
**Formation enthalpy at 0 K**: 229 meV/atom
**Calculated volume**: 16.20 Å³ per atom
**Symmetry**: I4/mmm (139)


No. 9
CuAg8Pd2: relaxed, PBE. Values from VASP.

Cell and atoms, written as Quantum ESPRESSO input:
```
&SYSTEM
  ibrav = 0, nat = 11, ntyp = 3
/
ATOMIC_SPECIES
Cu 63.55 Cu.upf
Ag 107.87 Ag.upf
Pd 106.42 Pd.upf
CELL_PARAMETERS angstrom
7.3401 -2.6823 0.0000
7.3401 2.6823 0.0000
-1.4865 0.0000 5.0227
ATOMIC_POSITIONS crystal
Cu 0.0000 0.0000 0.0000
Ag 0.1633 0.6646 0.5601
Ag 0.1946 0.1946 0.0797
Ag 0.3354 0.8367 0.4399
Ag 0.4139 0.4139 0.0761
Ag 0.5861 0.5861 0.9239
Ag 0.6646 0.1633 0.5601
Ag 0.8054 0.8054 0.9203
Ag 0.8367 0.3354 0.4399
Pd 0.2574 0.2574 0.6319
Pd 0.7426 0.7426 0.3681
```

## Properties
**E above lowest polymorph**: 0.0 meV per atom
**Formation enthalpy at 0 K**: 130 meV/atom
**Calculated volume**: 17.98 Å³ per atom
**Symmetry**: C2/m (12)


No. 10
Cu2Ag3Pd5: relaxed, PBE. Values from VASP.

Cell and atoms, written as Quantum ESPRESSO input:
```
&SYSTEM
  ibrav = 0, nat = 20, ntyp = 3
/
ATOMIC_SPECIES
Cu 63.55 Cu.upf
Ag 107.87 Ag.upf
Pd 106.42 Pd.upf
CELL_PARAMETERS angstrom
-5.2850 6.2092 2.6396
5.2850 -6.2092 2.6396
5.2850 6.2092 -2.6396
ATOMIC_POSITIONS crystal
Cu 0.1459 0.1486 0.2945
Cu 0.3541 0.6486 0.0027
Cu 0.6459 0.3514 0.9973
Cu 0.8541 0.8514 0.7055
Ag 0.2109 0.8758 0.0868
Ag 0.2500 0.2500 0.0000
Ag 0.2891 0.3758 0.6649
Ag 0.7109 0.6242 0.3351
Ag 0.7500 0.7500 0.0000
Ag 0.7891 0.1242 0.9132
Pd 0.1626 0.6079 0.7705
Pd 0.2500 0.5062 0.2562
Pd 0.2500 0.7500 0.5000
Pd 0.2500 0.9938 0.7438
Pd 0.3374 0.1079 0.4453
Pd 0.6626 0.8921 0.5547
Pd 0.7500 0.0062 0.2562
Pd 0.7500 0.2500 0.5000
Pd 0.7500 0.4938 0.7438
Pd 0.8374 0.3921 0.2295
```

## Properties
**Formation enthalpy at 0 K**: 265 meV/atom
**Calculated volume**: 17.32 Å³ per atom
**Symmetry**: Ibam (72)


No. 11
CuAg3Pd6: relaxed, PBE. Values from VASP.

Cell and atoms, written as Quantum ESPRESSO input:
```
&SYSTEM
  ibrav = 0, nat = 10, ntyp = 3
/
ATOMIC_SPECIES
Cu 63.55 Cu.upf
Ag 107.87 Ag.upf
Pd 106.42 Pd.upf
CELL_PARAMETERS angstrom
5.1825 0.0000 0.0000
-2.5912 4.4881 0.0000
0.0000 0.0000 7.1957
ATOMIC_POSITIONS crystal
Cu 0.0000 0.0000 0.0000
Ag 0.0000 0.0000 0.5000
Ag 0.3333 0.6667 0.5000
Ag 0.6667 0.3333 0.5000
Pd 0.0000 0.4013 0.8205
Pd 0.0000 0.5987 0.1795
Pd 0.4013 0.0000 0.8205
Pd 0.4013 0.4013 0.1795
Pd 0.5987 0.0000 0.1795
Pd 0.5987 0.5987 0.8205
```

## Properties
**E above lowest polymorph**: 141.3 meV per atom
**Formation enthalpy at 0 K**: 135 meV/atom
**Calculated volume**: 16.74 Å³ per atom
**Symmetry**: P-31m (162)


No. 12
Cu2Ag2Pd: relaxed, PBE. Values from VASP.

Cell and atoms, written as Quantum ESPRESSO input:
```
&SYSTEM
  ibrav = 0, nat = 10, ntyp = 3
/
ATOMIC_SPECIES
Cu 63.55 Cu.upf
Ag 107.87 Ag.upf
Pd 106.42 Pd.upf
CELL_PARAMETERS angstrom
7.3943 0.0000 0.0000
0.0000 7.3943 0.0000
0.0000 0.0000 2.8784
ATOMIC_POSITIONS crystal
Cu 0.1652 0.3348 0.0000
Cu 0.3348 0.8348 0.0000
Cu 0.6652 0.1652 0.0000
Cu 0.8348 0.6652 0.0000
Ag 0.1338 0.6338 0.5000
Ag 0.3662 0.1338 0.5000
Ag 0.6338 0.8662 0.5000
Ag 0.8662 0.3662 0.5000
Pd 0.0000 0.0000 0.5000
Pd 0.5000 0.5000 0.5000
```

## Properties
**E above lowest polymorph**: 73.9 meV per atom
**Formation enthalpy at 0 K**: 194 meV/atom
**Calculated volume**: 15.74 Å³ per atom
**Symmetry**: P4/mbm (127)